Density functional theory data (PBE) for an optimized crystal structure of CaIrCl.

## Properties
Magnetization, μB/cell: 0.00
Symmetry: Pnma (62)
Excess energy over the best structure of this formula in the dataset, meV per atom: 873.1
Raw formation energy, eV/atom: -0.362
DOS at the Fermi energy, states/eV/f.u.: 0.000

POSCAR file:
```
CaIrCl
1.0
5.8291 0.0000 0.0000
0.0000 4.4247 0.0000
0.0000 0.0000 10.6366
Cl Ir Ca
4 4 4
Cartesian
4.1034 1.1062 7.1255
1.1888 1.1062 8.8294
1.7257 3.3186 3.5111
4.6403 3.3186 1.8072
4.3116 1.1062 1.2906
1.3970 1.1062 4.0278
1.5176 3.3186 9.3461
4.4322 3.3186 6.6089
4.3942 3.3186 9.6295
4.3495 1.1062 4.3112
1.4349 1.1062 1.0071
1.4796 3.3186 6.3254
```